Version i
Here is NaTeF6 after structural relaxation from the Alexandria database. Energies are from PBE.

Cell lengths 5.3975, 5.3975, 5.1851 Å; angles 90.00, 90.00, 120.00 degrees
Space group P312 (No. 149)
Unique sites:
Na  0.0000  0.0000  0.0000
Te  0.3333  0.6667  0.5000
F  0.0398  0.3652  0.2764

Computed properties:
**ρ**: 3.358 g cm⁻³
**Magnetization**: 0.93 μB per formula unit
**Crystal system**: trigonal


Version ii
Here is NaTeF6 after structural relaxation from the Alexandria database. Energies are from PBE.

Cell lengths 8.136, 6.431, 5.409 Å; angles 90.00, 113.82, 90.00 degrees
Space group C2/m (No. 12)
Unique sites:
Na  0.000  0.000  0.000
Te  0.000  0.500  0.500
F  0.064  0.284  0.784
F  0.246  0.000  0.450

Computed properties:
**ρ**: 3.394 g cm⁻³
**Magnetization**: 0.87 μB per formula unit
**Crystal system**: monoclinic


Of the structures shown above, version i is the most stable.